Below is a relaxed structure of CoPO3, with properties calculated at the PBE with a Hubbard U level.

As for the space-group type: No. 12. The value obtained for the energy is -64.6 eV/cell.

Cell lengths 2.8213, 5.5256, 8.3681 Å; angles 92.39, 90.00, 104.79 degrees
Fractional positions:
Co 0.6158 0.2316 0.9219
Co 0.3842 0.7684 0.0781
P 0.8921 0.7842 0.7332
P 0.1079 0.2158 0.2668
O 0.3531 0.7062 0.6368
O 0.6469 0.2938 0.3632
O 0.8195 0.6390 0.8884
O 0.1805 0.3610 0.1116
O 0.0341 0.0681 0.7590
O 0.9659 0.9319 0.2410